This record from Alexandria via LeMat-Bulk describes an optimized crystal structure of Zr2TlCr2. The functional is PBE.

```
Zr2TlCr2
1.0
7.124 0.000 0.000
0.000 7.124 0.000
0.000 0.000 3.683
Zr Tl Cr
4 2 4
direct
0.183 0.317 0.000
0.317 0.817 0.000
0.683 0.183 0.000
0.817 0.683 0.000
0.000 0.000 0.500
0.500 0.500 0.500
0.099 0.599 0.500
0.401 0.099 0.500
0.599 0.901 0.500
0.901 0.401 0.500
```

Results
The space-group type is P4/mbm (127). For the density of states at the Fermi level, the calculation gives 0.705 states/eV/atom. For the total energy, the calculation gives -7.601 eV/atom.